(1)
# PBE-GGA Pa2RhAu, optimized geometry
data_Pa2RhAu
_chemical_formula_sum 'Pa2 Rh1 Au1'
_cell_length_a 3.6176
_cell_length_b 3.6176
_cell_length_c 6.6729
_cell_angle_alpha 90.00
_cell_angle_beta 90.00
_cell_angle_gamma 90.00
_space_group_name_H-M_alt 'P 4/m m m'
_space_group_IT_number 123
_space_group_name_Hall '-P 4 2'
loop_
_atom_site_label
_atom_site_fract_x
_atom_site_fract_y
_atom_site_fract_z
_atom_site_occupancy
Pa1 0.0000 0.0000 0.2196 1
Rh1 0.5000 0.5000 0.0000 1
Au1 0.5000 0.5000 0.5000 1
# M_tot: 0.0 μB per formula unit
# E_form: -1.6 eV/f.u.
# E_tot: -31.2 eV per cell
# distance to the lowest polymorph of the same formula: 0.000 eV per atom

(2)
# PBE-GGA PaRhAu, optimized geometry
data_PaRhAu
_chemical_formula_sum 'Pa2 Rh2 Au2'
_cell_length_a 3.6411
_cell_length_b 3.8703
_cell_length_c 8.9045
_cell_angle_alpha 90.00
_cell_angle_beta 101.70
_cell_angle_gamma 90.00
_space_group_name_H-M_alt 'P 1 21/m 1'
_space_group_IT_number 11
loop_
_space_group_symop_operation_xyz
'x,y,z'
'-x,-y,-z'
'-x,y+1/2,-z'
'x,-y+1/2,z'
loop_
_atom_site_label
_atom_site_fract_x
_atom_site_fract_y
_atom_site_fract_z
_atom_site_occupancy
Pa1 0.1060 0.2500 0.2081 1
Rh1 0.4395 0.2500 0.8845 1
Au1 0.2840 0.2500 0.5683 1
# M_tot: 0.0 μB per formula unit
# E_form: -2.0 eV/f.u.
# E_tot: -44.2 eV per cell
# distance to the lowest polymorph of the same formula: 0.000 eV per atom

(3)
# PBE-GGA PaRh2Au6, optimized geometry
data_PaRh2Au6
_chemical_formula_sum 'Pa2 Rh4 Au12'
_cell_length_a 13.7876
_cell_length_b 3.8168
_cell_length_c 6.6194
_cell_angle_alpha 90.00
_cell_angle_beta 109.13
_cell_angle_gamma 90.00
_space_group_name_H-M_alt 'C 1 2/m 1'
_space_group_IT_number 12
loop_
_space_group_symop_operation_xyz
'x,y,z'
'-x,-y,-z'
'-x,y,-z'
'x,-y,z'
'x+1/2,y+1/2,z'
'-x+1/2,-y+1/2,-z'
'-x+1/2,y+1/2,-z'
'x+1/2,-y+1/2,z'
loop_
_atom_site_label
_atom_site_fract_x
_atom_site_fract_y
_atom_site_fract_z
_atom_site_occupancy
Pa1 0.0000 0.0000 0.0000 1
Rh1 0.0496 0.5000 0.2957 1
Au1 0.1058 0.0000 0.6474 1
Au2 0.1720 0.5000 0.9970 1
Au3 0.2248 0.0000 0.3371 1
# M_tot: 0.0 μB per formula unit
# E_form: -2.6 eV/f.u.
# E_tot: -92.9 eV per cell

(4)
# PBE-GGA PaRhAu, optimized geometry
data_PaRhAu
_chemical_formula_sum 'Pa2 Rh2 Au2'
_cell_length_a 3.6288
_cell_length_b 3.6288
_cell_length_c 9.2896
_cell_angle_alpha 90.00
_cell_angle_beta 90.00
_cell_angle_gamma 90.00
_space_group_name_H-M_alt 'I 4 m m'
_space_group_IT_number 107
_space_group_name_Hall 'I 4 -2'
loop_
_atom_site_label
_atom_site_fract_x
_atom_site_fract_y
_atom_site_fract_z
_atom_site_occupancy
Pa1 0.0000 0.0000 0.0000 1
Rh1 0.0000 0.0000 0.3606 1
Au1 0.0000 0.0000 0.6812 1
# M_tot: 0.0 μB per formula unit
# E_form: -1.6 eV/f.u.
# E_tot: -43.4 eV per cell
# distance to the lowest polymorph of the same formula: 0.134 eV per atom

(5)
# PBE-GGA PaRhAu3, optimized geometry
data_PaRhAu3
_chemical_formula_sum 'Pa4 Rh4 Au12'
_cell_length_a 7.4720
_cell_length_b 5.5602
_cell_length_c 9.7221
_cell_angle_alpha 90.00
_cell_angle_beta 103.66
_cell_angle_gamma 90.00
_space_group_name_H-M_alt 'P 1 21/c 1'
_space_group_IT_number 14
loop_
_space_group_symop_operation_xyz
'x,y,z'
'-x,-y,-z'
'-x,y+1/2,-z+1/2'
'x,-y+1/2,z+1/2'
loop_
_atom_site_label
_atom_site_fract_x
_atom_site_fract_y
_atom_site_fract_z
_atom_site_occupancy
Pa1 0.2377 0.1056 0.1106 1
Rh1 0.0131 0.1304 0.8289 1
Au1 0.1515 0.6032 0.9677 1
Au2 0.3207 0.6174 0.2891 1
Au3 0.4611 0.1894 0.4093 1
# M_tot: 0.0 μB per formula unit
# E_form: -2.1 eV/f.u.
# E_tot: -115.3 eV per cell

(6)
# PBE-GGA Pa2RhAu, optimized geometry
data_Pa2RhAu
_chemical_formula_sum 'Pa2 Rh1 Au1'
_cell_length_a 4.4326
_cell_length_b 4.4326
_cell_length_c 4.2606
_cell_angle_alpha 90.00
_cell_angle_beta 90.00
_cell_angle_gamma 90.00
_space_group_name_H-M_alt 'P 4/m m m'
_space_group_IT_number 123
_space_group_name_Hall '-P 4 2'
loop_
_atom_site_label
_atom_site_fract_x
_atom_site_fract_y
_atom_site_fract_z
_atom_site_occupancy
Pa1 0.0000 0.5000 0.0000 1
Rh1 0.0000 0.0000 0.5000 1
Au1 0.5000 0.5000 0.5000 1
# M_tot: 0.0 μB per formula unit
# E_form: -1.5 eV/f.u.
# E_tot: -31.1 eV per cell
# distance to the lowest polymorph of the same formula: 0.013 eV per atom

(7)
# PBE-GGA PaRhAu, optimized geometry
data_PaRhAu
_chemical_formula_sum 'Pa1 Rh1 Au1'
_cell_length_a 4.6821
_cell_length_b 4.6821
_cell_length_c 3.1280
_cell_angle_alpha 90.00
_cell_angle_beta 90.00
_cell_angle_gamma 120.00
_space_group_name_H-M_alt 'P -6 m 2'
_space_group_IT_number 187
_space_group_name_Hall 'P -6 2'
loop_
_atom_site_label
_atom_site_fract_x
_atom_site_fract_y
_atom_site_fract_z
_atom_site_occupancy
Pa1 0.0000 0.0000 0.0000 1
Rh1 0.6667 0.3333 0.5000 1
Au1 0.3333 0.6667 0.5000 1
# M_tot: 0.0 μB per formula unit
# E_form: -1.3 eV/f.u.
# E_tot: -21.4 eV per cell
# distance to the lowest polymorph of the same formula: 0.225 eV per atom

(8)
# PBE-GGA Pa2RhAu, optimized geometry
data_Pa2RhAu
_chemical_formula_sum 'Pa8 Rh4 Au4'
_cell_length_a 7.0386
_cell_length_b 7.0386
_cell_length_c 7.0386
_cell_angle_alpha 90.00
_cell_angle_beta 90.00
_cell_angle_gamma 90.00
_space_group_name_H-M_alt 'F m -3 m'
_space_group_IT_number 225
_space_group_name_Hall '-F 4 2 3'
loop_
_atom_site_label
_atom_site_fract_x
_atom_site_fract_y
_atom_site_fract_z
_atom_site_occupancy
Pa1 0.2500 0.2500 0.2500 1
Rh1 0.0000 0.0000 0.0000 1
Au1 0.0000 0.0000 0.5000 1
# M_tot: 0.5 μB per formula unit
# E_form: -1.3 eV/f.u.
# E_tot: -123.8 eV per cell
# distance to the lowest polymorph of the same formula: 0.062 eV per atom

(9)
# PBE-GGA PaRh3Au, optimized geometry
data_PaRh3Au
_chemical_formula_sum 'Pa2 Rh6 Au2'
_cell_length_a 4.3646
_cell_length_b 5.6260
_cell_length_c 7.3823
_cell_angle_alpha 90.00
_cell_angle_beta 90.00
_cell_angle_gamma 90.00
_space_group_name_H-M_alt 'P m m n'
_space_group_IT_number 59
loop_
_space_group_symop_operation_xyz
'x,y,z'
'-x,-y,-z'
'-x+1/2,-y+1/2,z'
'x+1/2,y+1/2,-z'
'x+1/2,-y,-z'
'-x+1/2,y,z'
'-x,y+1/2,-z'
'x,-y+1/2,z'
loop_
_atom_site_label
_atom_site_fract_x
_atom_site_fract_y
_atom_site_fract_z
_atom_site_occupancy
Pa1 0.2500 0.2500 0.1809 1
Rh1 0.2500 0.0068 0.7541 1
Rh2 0.2500 0.7500 0.0710 1
Au1 0.2500 0.7500 0.4400 1
# M_tot: 0.0 μB per formula unit
# E_form: -2.5 eV/f.u.
# E_tot: -74.7 eV per cell

(10)
# PBE-GGA PaSbRhAu, optimized geometry
data_PaSbRhAu
_chemical_formula_sum 'Pa4 Sb4 Rh4 Au4'
_cell_length_a 6.9311
_cell_length_b 6.9311
_cell_length_c 6.9311
_cell_angle_alpha 90.00
_cell_angle_beta 90.00
_cell_angle_gamma 90.00
_space_group_name_H-M_alt 'F -4 3 m'
_space_group_IT_number 216
_space_group_name_Hall 'F -4 2 3'
loop_
_atom_site_label
_atom_site_fract_x
_atom_site_fract_y
_atom_site_fract_z
_atom_site_occupancy
Pa1 0.0000 0.0000 0.0000 1
Sb1 0.0000 0.0000 0.5000 1
Rh1 0.2500 0.2500 0.7500 1
Au1 0.2500 0.2500 0.2500 1
# energy relative to the elements, uncorrected: -0.47 eV/atom
# M_tot: 0.0 μB per formula unit
# E_tot: -104.5 eV per cell

(11)
# PBE-GGA ScPaRhAu, optimized geometry
data_ScPaRhAu
_chemical_formula_sum 'Sc4 Pa4 Rh4 Au4'
_cell_length_a 6.9062
_cell_length_b 6.9062
_cell_length_c 6.9062
_cell_angle_alpha 90.00
_cell_angle_beta 90.00
_cell_angle_gamma 90.00
_space_group_name_H-M_alt 'F -4 3 m'
_space_group_IT_number 216
_space_group_name_Hall 'F -4 2 3'
loop_
_atom_site_label
_atom_site_fract_x
_atom_site_fract_y
_atom_site_fract_z
_atom_site_occupancy
Sc1 0.0000 0.0000 0.0000 1
Pa1 0.0000 0.0000 0.5000 1
Rh1 0.2500 0.2500 0.2500 1
Au1 0.2500 0.2500 0.7500 1
# M_tot: 0.7 μB per formula unit
# E_form: -2.1 eV/f.u.
# E_tot: -114.3 eV per cell

(12)
# PBE-GGA Pa2Si3Rh4Au, optimized geometry
data_Pa2Si3Rh4Au
_chemical_formula_sum 'Pa2 Si3 Rh4 Au1'
_cell_length_a 3.9502
_cell_length_b 3.9502
_cell_length_c 11.1267
_cell_angle_alpha 90.00
_cell_angle_beta 90.00
_cell_angle_gamma 90.00
_space_group_name_H-M_alt 'P -4 m 2'
_space_group_IT_number 115
loop_
_space_group_symop_operation_xyz
'x,y,z'
'y,-x,-z'
'-x,-y,z'
'-y,x,-z'
'-x,y,z'
'-y,-x,-z'
'x,-y,z'
'y,x,-z'
loop_
_atom_site_label
_atom_site_fract_x
_atom_site_fract_y
_atom_site_fract_z
_atom_site_occupancy
Pa1 0.0000 0.5000 0.2471 1
Si1 0.0000 0.5000 0.8813 1
Si2 0.5000 0.5000 0.5000 1
Rh1 0.0000 0.0000 0.0000 1
Rh2 0.0000 0.5000 0.6716 1
Rh3 0.5000 0.5000 0.0000 1
Au1 0.0000 0.0000 0.5000 1
# energy relative to the elements, uncorrected: -0.83 eV/atom
# M_tot: 0.0 μB per formula unit
# E_tot: -76.3 eV per cell

(13)
# PBE-GGA SmPaRhAu, optimized geometry
data_SmPaRhAu
_chemical_formula_sum 'Sm4 Pa4 Rh4 Au4'
_cell_length_a 7.1194
_cell_length_b 7.1194
_cell_length_c 7.1194
_cell_angle_alpha 90.00
_cell_angle_beta 90.00
_cell_angle_gamma 90.00
_space_group_name_H-M_alt 'F -4 3 m'
_space_group_IT_number 216
_space_group_name_Hall 'F -4 2 3'
loop_
_atom_site_label
_atom_site_fract_x
_atom_site_fract_y
_atom_site_fract_z
_atom_site_occupancy
Sm1 0.0000 0.0000 0.0000 1
Pa1 0.0000 0.0000 0.5000 1
Rh1 0.2500 0.2500 0.2500 1
Au1 0.2500 0.2500 0.7500 1
# M_tot: 0.8 μB per formula unit
# E_form: -1.9 eV/f.u.
# E_tot: -106.9 eV per cell

no.,V (Å³ per atom)
1,21.8
2,20.5
3,18.3
4,20.4
5,19.6
6,20.9
7,19.8
8,21.8
9,18.1
10,20.8
11,20.6
12,17.4
13,22.6